Density functional theory data (PBE-GGA) for a relaxed structure of Li3SiPt2.

Computed properties:
Total DFT energy (no corrections) (eV/atom): -4.552

abc: 5.418 5.418 7.547
angles: 90.34 90.34 122.16
Atoms (fractional coordinates):
Li  0.008  0.722  0.106
Li  0.160  0.840  0.750
Li  0.278  0.992  0.394
Li  0.722  0.008  0.606
Li  0.840  0.160  0.250
Li  0.992  0.278  0.894
Si  0.478  0.522  0.250
Si  0.522  0.478  0.750
Pt  0.233  0.486  0.513
Pt  0.486  0.233  0.013
Pt  0.514  0.767  0.987
Pt  0.767  0.514  0.487

---

Density functional theory data (PBE-GGA) for a relaxed structure of LiSiPt2.

Computed properties:
Total DFT energy (no corrections) (eV/atom): -5.290

abc: 8.210 8.210 8.210
angles: 20.51 20.51 20.51
Atoms (fractional coordinates):
Li  0.000  0.000  0.000
Si  0.500  0.500  0.500
Pt  0.243  0.243  0.243
Pt  0.757  0.757  0.757

---

Density functional theory data (PBE-GGA) for a relaxed structure of Li3Si2Pt4.

Computed properties:
Total DFT energy (no corrections) (eV/atom): -5.270

abc: 4.153 4.153 8.013
angles: 90.21 90.21 59.83
Atoms (fractional coordinates):
Li  0.000  0.000  0.000
Li  0.334  0.334  0.454
Li  0.666  0.666  0.546
Si  0.334  0.334  0.783
Si  0.666  0.666  0.217
Pt  0.000  0.000  0.315
Pt  0.000  0.000  0.685
Pt  0.333  0.333  0.106
Pt  0.667  0.667  0.894

---

E_form (uncorrected) across the listed records, respectively: -0.6778, -0.4355, -0.7417 eV per atom.